DFT (PBE) results for an optimized crystal structure of Mg2PdAu2.

Computed properties:
DOS at the Fermi energy in states/eV/f.u.: 1.86
Distance to the lowest polymorph of the same formula in meV per atom: 79
Formation energy in eV/atom: -0.4776
Calculated volume in Å³ per cell: 181.9

a b c (Å): 7.4803 7.4803 3.2504
angles (deg): 90.00 90.00 90.00
With the nearest neighbours (Å) after each atom.
Space group P4/mbm (No. 127)
Unique sites:
Mg (0.1670, 0.3330, 0.0000) (multiplicity 4)  6 Au 2.66-2.79
Pd (0.0000, 0.0000, 0.5000) (multiplicity 2)  4 Au 2.91, 8 Mg 3.23, 2 Pd 3.25
Au (0.1342, 0.6342, 0.5000) (multiplicity 4)  6 Mg 2.66-2.79, 1 Au 2.84, 2 Pd 2.91